[1]
Computed, not measured: crystalline AlIr2Pb at its relaxed geometry at the PBE level of DFT.

Results
Formation energy from the elements in eV/atom: 0.168
Density in g/cm³: 15.27
Crystal system: tetragonal

abc: 3.8800 3.8800 8.9366
angles: 90.00 90.00 90.00
Space group I-4m2 (No. 119)
Symmetry-distinct sites (fractional):
Al  0.0000  0.0000  0.0000 (multiplicity 2)
Ir  0.0000  0.0000  0.5000 (multiplicity 2)
Ir  0.0000  0.5000  0.7500 (multiplicity 2)
Pb  0.0000  0.5000  0.2500 (multiplicity 2)

---

[2]
Computed, not measured: crystalline PrNdSbCl at its relaxed geometry at the PBE level of DFT.

Results
Density in g/cm³: 6.72
Energy in eV per cell: -81.61
Crystal system: cubic

abc: 7.5896 7.5896 7.5896
angles: 90.00 90.00 90.00
Space group F-43m (No. 216)
Symmetry-distinct sites (fractional):
Pr  0.0000  0.0000  0.0000 (multiplicity 4)
Nd  0.0000  0.0000  0.5000 (multiplicity 4)
Sb  0.2500  0.2500  0.7500 (multiplicity 4)
Cl  0.2500  0.2500  0.2500 (multiplicity 4)

---

[3]
Computed, not measured: crystalline YMn2Cd at its relaxed geometry at the PBE level of DFT.

Results
Formation energy from the elements in eV/atom: 0.273
Density in g/cm³: 6.67
Crystal system: monoclinic

abc: 4.1003 4.3592 4.3331
angles: 90.00 90.20 90.00
Space group P2/m (No. 10)
Symmetry-distinct sites (fractional):
Y  0.0000  0.0000  0.0000 (multiplicity 1)
Mn  0.5000  0.0000  0.5000 (multiplicity 1)
Mn  0.5000  0.5000  0.0000 (multiplicity 1)
Cd  0.0000  0.5000  0.5000 (multiplicity 1)

---

[4]
Computed, not measured: crystalline NiBBr3 at its relaxed geometry at the PBE level of DFT.

Results
Density in g/cm³: 4.33
Energy in eV per cell: -13.56
Crystal system: cubic

abc: 4.9122 4.9122 4.9122
angles: 90.00 90.00 90.00
Space group Pm-3m (No. 221)
Symmetry-distinct sites (fractional):
Ni  0.0000  0.0000  0.0000 (multiplicity 1)
B  0.5000  0.5000  0.5000 (multiplicity 1)
Br  0.0000  0.0000  0.5000 (multiplicity 3)

---

[5]
Computed, not measured: crystalline HgTe3 at its relaxed geometry at the PBE level of DFT.

Results
Density in g/cm³: 7.84
Energy in eV per cell: -9.13
Crystal system: hexagonal

abc: 4.1414 4.1414 8.3180
angles: 90.00 90.00 120.00
Space group P-6m2 (No. 187)
Symmetry-distinct sites (fractional):
Hg  0.0000  0.0000  0.0000 (multiplicity 1)
Te  0.0000  0.0000  0.5000 (multiplicity 1)
Te  0.6667  0.3333  0.2469 (multiplicity 2)

---

[6]
Computed, not measured: crystalline NaV2C2 at its relaxed geometry at the PBE level of DFT.

Results
Formation energy from the elements in eV/atom: 0.018
Density in g/cm³: 3.26
Crystal system: tetragonal

abc: 3.7031 3.7031 11.0669
angles: 90.00 90.00 90.00
Space group I4/mmm (No. 139)
Symmetry-distinct sites (fractional):
Na  0.0000  0.0000  0.0000 (multiplicity 2)
V  0.0000  0.5000  0.2500 (multiplicity 4)
C  0.0000  0.0000  0.3187 (multiplicity 4)

---

| no. | spin magnetization (μB per formula unit) |
| --- | --- |
| 1 | 0.00 |
| 2 | 0.01 |
| 3 | 5.81 |
| 4 | 0.00 |
| 5 | 0.00 |
| 6 | 0.00 |